# MgSb2Br (GGA-PBEsol, optimized geometry)
data_MgSb2Br
_chemical_formula_sum 'Mg2 Sb4 Br2'
_cell_length_a 5.875
_cell_length_b 10.743
_cell_length_c 3.246
_cell_angle_alpha 90.00
_cell_angle_beta 90.00
_cell_angle_gamma 90.00
_space_group_name_H-M_alt 'C m m m'
_space_group_IT_number 65
_space_group_name_Hall '-C 2 2'
loop_
_atom_site_label
_atom_site_type_symbol
_atom_site_fract_x
_atom_site_fract_y
_atom_site_fract_z
Mg1 Mg 0.000 0.000 0.000
Sb1 Sb 0.250 0.250 0.500
Br1 Br 0.000 0.500 0.000
# ΔE_f (raw), eV per atom: -0.0147
# Crystal system: orthorhombic
# Calculated total energy, eV/atom: -3.190
# Magnetization, μB per atom: 0.00